Material: ScReW3
Method: DFT, PBE
State: relaxed

Output
* ρ: 11.9 g/cm³
* energy: -49.8 eV/f.u.
* energy relative to the elements: 1578 meV/atom
* N(E_F): 7.52 states/eV/f.u.
* excess energy over the best structure of this formula in the dataset: 0.0 meV/atom

Cell: 4.7841 4.7841 4.7841 Å, 90.00 90.00 90.00°
With the nearest neighbours (Å) after each atom.
Space group Pm-3m (No. 221)
Inequivalent atoms, fractional coordinates:
Sc: 0.0000 0.0000 0.0000  12 W 3.38
Re: 0.5000 0.5000 0.5000  6 W 2.39
W: 0.0000 0.5000 0.5000  2 Re 2.39

=====

Material: LaTmTe3
Method: DFT, PBE
State: relaxed

Output
* ρ: 6.9 g/cm³
* energy: -26.3 eV/f.u.
* N(E_F): 0.09 states/eV/f.u.
* excess energy over the best structure of this formula in the dataset: 0.0 meV/atom
* E_form (uncorrected): -1.486 eV per atom

Cell: 4.3570 14.1862 10.8271 Å, 90.00 90.00 90.00°
With the nearest neighbours (Å) after each atom.
Space group Cmcm (No. 63)
Inequivalent atoms, fractional coordinates:
La: 0.0000 0.2500 0.2500  6 Te 3.20-3.35
Tm: 0.0000 0.0000 0.0000  6 Te 2.96-3.06
Te: 0.0000 0.0852 0.7500  2 Tm 2.96, 2 La 3.20
Te: 0.0000 0.3556 0.5601  2 Tm 3.06, 2 La 3.35

=====

Material: Be3Ir
Method: DFT, PBE
State: relaxed

Output
* ρ: 9.1 g/cm³
* energy: -21.3 eV/f.u.
* energy relative to the elements: -322 meV/atom
* N(E_F): 1.47 states/eV/f.u.

Cell: 2.8512 2.8512 4.9013 Å, 90.00 90.00 90.00°
With the nearest neighbours (Å) after each atom.
Space group P4/mmm (No. 123)
Inequivalent atoms, fractional coordinates:
Be: 0.0000 0.0000 0.0000  8 Be 2.36, 2 Ir 2.45
Be: 0.5000 0.5000 0.2488  6 Be 2.36-2.46, 4 Ir 2.36
Ir: 0.0000 0.0000 0.5000  10 Be 2.36-2.45